Record 1
The following is a DFT calculation (GGA-PBE) of Na5B9C after structural relaxation.

Lattice parameters (Å, degrees): 3.005 3.005 44.439 90.00 90.00 120.00
Fractional coordinates of all 30 atoms:
Na (0.000, 0.000, 0.047)
Na (0.000, 0.000, 0.121)
Na (0.000, 0.000, 0.258)
Na (0.000, 0.000, 0.354)
Na (0.000, 0.000, 0.451)
Na (0.000, 0.000, 0.549)
Na (0.000, 0.000, 0.646)
Na (0.000, 0.000, 0.742)
Na (0.000, 0.000, 0.879)
Na (0.000, 0.000, 0.953)
B (0.333, 0.667, 0.000)
B (0.333, 0.667, 0.166)
B (0.333, 0.667, 0.210)
B (0.333, 0.667, 0.305)
B (0.333, 0.667, 0.403)
B (0.333, 0.667, 0.500)
B (0.333, 0.667, 0.597)
B (0.333, 0.667, 0.695)
B (0.333, 0.667, 0.790)
B (0.333, 0.667, 0.834)
B (0.667, 0.333, 0.000)
B (0.667, 0.333, 0.170)
B (0.667, 0.333, 0.305)
B (0.667, 0.333, 0.403)
B (0.667, 0.333, 0.500)
B (0.667, 0.333, 0.597)
B (0.667, 0.333, 0.695)
B (0.667, 0.333, 0.830)
C (0.667, 0.333, 0.211)
C (0.667, 0.333, 0.789)

Calculated values
* volume: 348 Å³/cell
* DFT formation energy: 0.36 eV/atom

---

Record 2
The following is a DFT calculation (GGA-PBE) of Na2B3C after structural relaxation.

Lattice parameters (Å, degrees): 5.056 7.711 9.087 75.92 73.88 70.95
Fractional coordinates of all 30 atoms:
Na (0.000, 0.000, 0.000)
Na (0.000, 0.500, 0.498)
Na (0.199, 0.601, 0.001)
Na (0.201, 0.101, 0.496)
Na (0.397, 0.199, 0.002)
Na (0.402, 0.699, 0.496)
Na (0.599, 0.299, 0.498)
Na (0.601, 0.798, 0.001)
Na (0.800, 0.399, 0.999)
Na (0.803, 0.900, 0.496)
B (0.021, 0.351, 0.249)
B (0.171, 0.248, 0.750)
B (0.222, 0.948, 0.249)
B (0.231, 0.452, 0.749)
B (0.363, 0.352, 0.248)
B (0.368, 0.838, 0.749)
B (0.435, 0.048, 0.750)
B (0.439, 0.559, 0.248)
B (0.564, 0.947, 0.249)
B (0.572, 0.467, 0.748)
B (0.653, 0.150, 0.249)
B (0.791, 0.032, 0.748)
B (0.821, 0.250, 0.748)
B (0.849, 0.740, 0.249)
B (0.955, 0.662, 0.749)
C (0.043, 0.846, 0.748)
C (0.166, 0.750, 0.249)
C (0.639, 0.654, 0.748)
C (0.766, 0.549, 0.248)
C (0.963, 0.149, 0.250)

Calculated values
* volume: 317 Å³/cell
* DFT formation energy: 0.18 eV/atom

---

Record 3
The following is a DFT calculation (GGA-PBE) of Na5B8C2 after structural relaxation.

Lattice parameters (Å, degrees): 9.113 9.113 13.587 112.16 112.16 18.00
Fractional coordinates of all 30 atoms:
Na (0.000, 0.000, 0.000)
Na (0.001, 0.001, 0.498)
Na (0.200, 0.200, 0.399)
Na (0.201, 0.201, 0.901)
Na (0.400, 0.400, 0.800)
Na (0.402, 0.402, 0.298)
Na (0.598, 0.598, 0.201)
Na (0.603, 0.603, 0.700)
Na (0.799, 0.799, 0.600)
Na (0.802, 0.802, 0.099)
B (0.032, 0.032, 0.812)
B (0.037, 0.037, 0.322)
B (0.170, 0.170, 0.588)
B (0.175, 0.175, 0.099)
B (0.240, 0.240, 0.728)
B (0.366, 0.366, 0.479)
B (0.427, 0.427, 0.103)
B (0.430, 0.430, 0.608)
B (0.573, 0.573, 0.895)
B (0.631, 0.631, 0.509)
B (0.636, 0.636, 0.020)
B (0.763, 0.763, 0.274)
B (0.829, 0.829, 0.406)
B (0.834, 0.834, 0.917)
B (0.967, 0.967, 0.182)
B (0.969, 0.969, 0.686)
C (0.234, 0.234, 0.217)
C (0.365, 0.365, 0.979)
C (0.568, 0.568, 0.384)
C (0.771, 0.771, 0.790)

Calculated values
* volume: 322 Å³/cell
* DFT formation energy: 0.19 eV/atom

---

Record 4
The following is a DFT calculation (GGA-PBE) of Na5B8C2 after structural relaxation.

Lattice parameters (Å, degrees): 8.662 13.307 13.307 12.13 90.00 90.00
Fractional coordinates of all 30 atoms:
Na (0.248, 0.000, 0.000)
Na (0.250, 0.400, 0.400)
Na (0.250, 0.601, 0.601)
Na (0.250, 0.800, 0.800)
Na (0.251, 0.201, 0.201)
Na (0.749, 0.201, 0.201)
Na (0.750, 0.400, 0.400)
Na (0.750, 0.601, 0.601)
Na (0.750, 0.800, 0.800)
Na (0.752, 0.000, 0.000)
B (0.000, 0.071, 0.071)
B (0.000, 0.270, 0.270)
B (0.000, 0.333, 0.333)
B (0.000, 0.465, 0.465)
B (0.000, 0.531, 0.531)
B (0.000, 0.662, 0.662)
B (0.000, 0.728, 0.728)
B (0.000, 0.875, 0.875)
B (0.500, 0.070, 0.070)
B (0.500, 0.134, 0.134)
B (0.500, 0.333, 0.333)
B (0.500, 0.464, 0.464)
B (0.500, 0.527, 0.527)
B (0.500, 0.675, 0.675)
B (0.500, 0.742, 0.742)
B (0.500, 0.923, 0.923)
C (0.000, 0.131, 0.131)
C (0.000, 0.934, 0.934)
C (0.500, 0.272, 0.272)
C (0.500, 0.864, 0.864)

Calculated values
* volume: 322 Å³/cell
* DFT formation energy: 0.18 eV/atom

---

Repeat the first record exactly.
The following is a DFT calculation (GGA-PBE) of Na5B9C after structural relaxation.

Lattice parameters (Å, degrees): 3.005 3.005 44.439 90.00 90.00 120.00
Fractional coordinates of all 30 atoms:
Na (0.000, 0.000, 0.047)
Na (0.000, 0.000, 0.121)
Na (0.000, 0.000, 0.258)
Na (0.000, 0.000, 0.354)
Na (0.000, 0.000, 0.451)
Na (0.000, 0.000, 0.549)
Na (0.000, 0.000, 0.646)
Na (0.000, 0.000, 0.742)
Na (0.000, 0.000, 0.879)
Na (0.000, 0.000, 0.953)
B (0.333, 0.667, 0.000)
B (0.333, 0.667, 0.166)
B (0.333, 0.667, 0.210)
B (0.333, 0.667, 0.305)
B (0.333, 0.667, 0.403)
B (0.333, 0.667, 0.500)
B (0.333, 0.667, 0.597)
B (0.333, 0.667, 0.695)
B (0.333, 0.667, 0.790)
B (0.333, 0.667, 0.834)
B (0.667, 0.333, 0.000)
B (0.667, 0.333, 0.170)
B (0.667, 0.333, 0.305)
B (0.667, 0.333, 0.403)
B (0.667, 0.333, 0.500)
B (0.667, 0.333, 0.597)
B (0.667, 0.333, 0.695)
B (0.667, 0.333, 0.830)
C (0.667, 0.333, 0.211)
C (0.667, 0.333, 0.789)

Calculated values
* volume: 348 Å³/cell
* DFT formation energy: 0.36 eV/atom

---

> What is the DFT formation energy in the second record?

0.18 eV/atom